The following is a DFT calculation (PBE) of a geometry-optimized Al2MoOs structure.

Calculated values
Fermi-level density of states: 1.0041 states/eV per atom
theoretical density: 9.6 g cm⁻³
formation enthalpy at 0 K: -103 meV/atom
E above lowest polymorph: 0.221 eV/atom

Cell: 6.176 6.176 6.176 Å, 90.00 90.00 90.00°
Space group F-43m (No. 216)
Symmetry-distinct sites (fractional):
Al  0.000  0.000  0.000
Al  0.250  0.250  0.250
Mo  0.250  0.250  0.750
Os  0.000  0.000  0.500